# SCAN TcIrPt2, single point on PBEsol structure
# Size of the total moment, μB/f.u.: 0.00
# E above lowest polymorph, eV/atom: 0.175
# DFT total energy, eV per cell: -739.9
# ΔH_f (0 K), eV/f.u.: -0.10
data_TcIrPt2
_cell_length_a 2.7323
_cell_length_b 2.7323
_cell_length_c 26.7625
_cell_angle_alpha 90.00
_cell_angle_beta 90.00
_cell_angle_gamma 120.00
_symmetry_space_group_name_H-M 'R -3 m'
_symmetry_Int_Tables_number 166
_symmetry_space_group_name_Hall '-R 3 2"'
loop_
_atom_site_label
_atom_site_type_symbol
_atom_site_fract_x
_atom_site_fract_y
_atom_site_fract_z
_atom_site_occupancy
Tc1 Tc 0.0000 0.0000 0.0000 1
Ir1 Ir 0.0000 0.0000 0.5000 1
Pt1 Pt 0.0000 0.0000 0.2518 1

=====

# SCAN TcIrPt2, single point on PBEsol structure
# Size of the total moment, μB/f.u.: 0.00
# E above lowest polymorph, eV/atom: 0.080
# DFT total energy, eV per cell: -494.1
# ΔH_f (0 K), eV/f.u.: -0.48
data_TcIrPt2
_cell_length_a 9.1087
_cell_length_b 2.7074
_cell_length_c 4.7345
_cell_angle_alpha 90.00
_cell_angle_beta 99.66
_cell_angle_gamma 90.00
_symmetry_space_group_name_H-M 'C 1 m 1'
_symmetry_Int_Tables_number 8
_symmetry_space_group_name_Hall 'C -2y'
loop_
_atom_site_label
_atom_site_type_symbol
_atom_site_fract_x
_atom_site_fract_y
_atom_site_fract_z
_atom_site_occupancy
Tc1 Tc 0.0000 0.0000 0.0000 1
Ir1 Ir 0.2432 0.5000 0.2305 1
Pt1 Pt 0.2498 0.0000 0.7444 1
Pt2 Pt 0.4952 0.0000 0.4910 1

=====

# SCAN TcIrPt2, single point on PBEsol structure
# Size of the total moment, μB/f.u.: 0.00
# E above lowest polymorph, eV/atom: 0.161
# DFT total energy, eV per cell: -246.7
# ΔH_f (0 K), eV/f.u.: -0.16
data_TcIrPt2
_cell_length_a 2.7095
_cell_length_b 2.7095
_cell_length_c 7.8439
_cell_angle_alpha 90.00
_cell_angle_beta 90.00
_cell_angle_gamma 90.00
_symmetry_space_group_name_H-M 'P 4/m m m'
_symmetry_Int_Tables_number 123
_symmetry_space_group_name_Hall '-P 4 2'
loop_
_atom_site_label
_atom_site_type_symbol
_atom_site_fract_x
_atom_site_fract_y
_atom_site_fract_z
_atom_site_occupancy
Tc1 Tc 0.0000 0.0000 0.0000 1
Ir1 Ir 0.0000 0.0000 0.5000 1
Pt1 Pt 0.5000 0.5000 0.2442 1

=====

# SCAN TcIrPt2, single point on PBEsol structure
# Size of the total moment, μB/f.u.: 0.00
# E above lowest polymorph, eV/atom: 0.036
# DFT total energy, eV per cell: -247.2
# ΔH_f (0 K), eV/f.u.: -0.66
data_TcIrPt2
_cell_length_a 2.7215
_cell_length_b 3.8543
_cell_length_c 5.4924
_cell_angle_alpha 90.00
_cell_angle_beta 90.00
_cell_angle_gamma 90.00
_symmetry_space_group_name_H-M 'P m m 2'
_symmetry_Int_Tables_number 25
_symmetry_space_group_name_Hall 'P 2 -2'
loop_
_atom_site_label
_atom_site_type_symbol
_atom_site_fract_x
_atom_site_fract_y
_atom_site_fract_z
_atom_site_occupancy
Tc1 Tc 0.0000 0.0000 0.0000 1
Ir1 Ir 0.5000 0.5000 0.2269 1
Pt1 Pt 0.0000 0.0000 0.4883 1
Pt2 Pt 0.5000 0.5000 0.7463 1

=====

# SCAN TcIrPt2, single point on PBEsol structure
# Size of the total moment, μB/f.u.: 0.00
# E above lowest polymorph, eV/atom: 0.000
# DFT total energy, eV per cell: -247.3
# ΔH_f (0 K), eV/f.u.: -0.80
data_TcIrPt2
_cell_length_a 2.7157
_cell_length_b 2.7157
_cell_length_c 7.8381
_cell_angle_alpha 90.00
_cell_angle_beta 90.00
_cell_angle_gamma 90.00
_symmetry_space_group_name_H-M 'P 4 m m'
_symmetry_Int_Tables_number 99
_symmetry_space_group_name_Hall 'P 4 -2'
loop_
_atom_site_label
_atom_site_type_symbol
_atom_site_fract_x
_atom_site_fract_y
_atom_site_fract_z
_atom_site_occupancy
Tc1 Tc 0.0000 0.0000 0.0000 1
Ir1 Ir 0.5000 0.5000 0.2294 1
Pt1 Pt 0.0000 0.0000 0.4874 1
Pt2 Pt 0.5000 0.5000 0.7534 1

=====

# SCAN Tc2IrPt, single point on PBEsol structure
# Size of the total moment, μB/f.u.: 0.00
# E above lowest polymorph, eV/atom: 0.000
# DFT total energy, eV per cell: -212.6
# ΔH_f (0 K), eV/f.u.: -1.23
data_Tc2IrPt
_cell_length_a 2.7082
_cell_length_b 4.3490
_cell_length_c 4.7793
_cell_angle_alpha 90.00
_cell_angle_beta 90.00
_cell_angle_gamma 90.00
_symmetry_space_group_name_H-M 'P m m 2'
_symmetry_Int_Tables_number 25
_symmetry_space_group_name_Hall 'P 2 -2'
loop_
_atom_site_label
_atom_site_type_symbol
_atom_site_fract_x
_atom_site_fract_y
_atom_site_fract_z
_atom_site_occupancy
Tc1 Tc 0.0000 0.0000 0.0000 1
Tc2 Tc 0.0000 0.5000 0.3191 1
Ir1 Ir 0.5000 0.5000 0.8306 1
Pt1 Pt 0.5000 0.0000 0.4975 1

=====

# SCAN Tc2IrPt, single point on PBEsol structure
# Size of the total moment, μB/f.u.: 0.00
# E above lowest polymorph, eV/atom: 0.090
# DFT total energy, eV per cell: -424.6
# ΔH_f (0 K), eV/f.u.: -0.86
data_Tc2IrPt
_cell_length_a 3.7904
_cell_length_b 3.7904
_cell_length_c 7.8440
_cell_angle_alpha 90.00
_cell_angle_beta 90.00
_cell_angle_gamma 90.00
_symmetry_space_group_name_H-M 'I 4/m m m'
_symmetry_Int_Tables_number 139
_symmetry_space_group_name_Hall '-I 4 2'
loop_
_atom_site_label
_atom_site_type_symbol
_atom_site_fract_x
_atom_site_fract_y
_atom_site_fract_z
_atom_site_occupancy
Tc1 Tc 0.0000 0.5000 0.2500 1
Ir1 Ir 0.0000 0.0000 0.0000 1
Pt1 Pt 0.0000 0.0000 0.5000 1

=====

# SCAN TcIrPt2, single point on PBEsol structure
# Size of the total moment, μB/f.u.: 0.00
# E above lowest polymorph, eV/atom: 0.151
# DFT total energy, eV per cell: -493.5
# ΔH_f (0 K), eV/f.u.: -0.20
data_TcIrPt2
_cell_length_a 3.8278
_cell_length_b 3.8278
_cell_length_c 7.8590
_cell_angle_alpha 90.00
_cell_angle_beta 90.00
_cell_angle_gamma 90.00
_symmetry_space_group_name_H-M 'I 4/m m m'
_symmetry_Int_Tables_number 139
_symmetry_space_group_name_Hall '-I 4 2'
loop_
_atom_site_label
_atom_site_type_symbol
_atom_site_fract_x
_atom_site_fract_y
_atom_site_fract_z
_atom_site_occupancy
Tc1 Tc 0.0000 0.0000 0.0000 1
Ir1 Ir 0.0000 0.0000 0.5000 1
Pt1 Pt 0.0000 0.5000 0.2500 1

=====

# SCAN TcIrPt2, single point on PBEsol structure
# Size of the total moment, μB/f.u.: 0.00
# E above lowest polymorph, eV/atom: 0.063
# DFT total energy, eV per cell: -741.3
# ΔH_f (0 K), eV/f.u.: -0.55
data_TcIrPt2
_cell_length_a 2.7214
_cell_length_b 2.7214
_cell_length_c 27.0827
_cell_angle_alpha 90.00
_cell_angle_beta 90.00
_cell_angle_gamma 120.00
_symmetry_space_group_name_H-M 'R 3 m'
_symmetry_Int_Tables_number 160
_symmetry_space_group_name_Hall 'R 3 -2"'
loop_
_atom_site_label
_atom_site_type_symbol
_atom_site_fract_x
_atom_site_fract_y
_atom_site_fract_z
_atom_site_occupancy
Tc1 Tc 0.0000 0.0000 0.0000 1
Ir1 Ir 0.0000 0.0000 0.7440 1
Pt1 Pt 0.0000 0.0000 0.2510 1
Pt2 Pt 0.0000 0.0000 0.4969 1

=====

# SCAN TcIrPt2, single point on PBEsol structure
# Size of the total moment, μB/f.u.: 0.00
# E above lowest polymorph, eV/atom: 0.075
# DFT total energy, eV per cell: -494.1
# ΔH_f (0 K), eV/f.u.: -0.50
data_TcIrPt2
_cell_length_a 3.8432
_cell_length_b 3.8432
_cell_length_c 7.7838
_cell_angle_alpha 90.00
_cell_angle_beta 90.00
_cell_angle_gamma 90.00
_symmetry_space_group_name_H-M 'I -4 m 2'
_symmetry_Int_Tables_number 119
_symmetry_space_group_name_Hall 'I -4 -2'
loop_
_atom_site_label
_atom_site_type_symbol
_atom_site_fract_x
_atom_site_fract_y
_atom_site_fract_z
_atom_site_occupancy
Tc1 Tc 0.0000 0.0000 0.0000 1
Ir1 Ir 0.0000 0.5000 0.2500 1
Pt1 Pt 0.0000 0.0000 0.5000 1
Pt2 Pt 0.0000 0.5000 0.7500 1

=====

# SCAN TeIr2Pt, single point on PBEsol structure
# Size of the total moment, μB/f.u.: 0.00
# Uncorrected formation energy, eV per atom: 0.490
# DFT total energy, eV per cell: -247.7
data_TeIr2Pt
_cell_length_a 2.9436
_cell_length_b 4.7261
_cell_length_c 4.7190
_cell_angle_alpha 90.00
_cell_angle_beta 90.93
_cell_angle_gamma 90.00
_symmetry_space_group_name_H-M 'P 1 2/m 1'
_symmetry_Int_Tables_number 10
_symmetry_space_group_name_Hall '-P 2y'
loop_
_atom_site_label
_atom_site_type_symbol
_atom_site_fract_x
_atom_site_fract_y
_atom_site_fract_z
_atom_site_occupancy
Te1 Te 0.0000 0.0000 0.0000 1
Ir1 Ir 0.2504 0.5000 0.7423 1
Pt1 Pt 0.5000 0.0000 0.5000 1

=====

# SCAN TeIr2Pt, single point on PBEsol structure
# Size of the total moment, μB/f.u.: 0.00
# Uncorrected formation energy, eV per atom: 0.623
# DFT total energy, eV per cell: -741.5
data_TeIr2Pt
_cell_length_a 2.9767
_cell_length_b 2.9767
_cell_length_c 25.6161
_cell_angle_alpha 90.00
_cell_angle_beta 90.00
_cell_angle_gamma 120.00
_symmetry_space_group_name_H-M 'R -3 m'
_symmetry_Int_Tables_number 166
_symmetry_space_group_name_Hall '-R 3 2"'
loop_
_atom_site_label
_atom_site_type_symbol
_atom_site_fract_x
_atom_site_fract_y
_atom_site_fract_z
_atom_site_occupancy
Te1 Te 0.0000 0.0000 0.0000 1
Ir1 Ir 0.0000 0.0000 0.2500 1
Pt1 Pt 0.0000 0.0000 0.5000 1